[1]
NdAl5Ag7 | PBE | relaxed

Results
E_form ... -209 meV per atom
Uncorrected energy ... -3.5507 eV per atom
Crystal system ... monoclinic

Unit cell a=10.720 b=9.381 c=5.431 alpha=90.00 beta=120.07 gamma=90.00
Space group Cm (No. 8)
Inequivalent atoms, fractional coordinates:
Nd: 0.000 0.000 0.000 x2
Al: 0.225 0.000 0.723 x2
Al: 0.252 0.254 0.003 x4
Al: 0.252 0.254 0.500 x4
Ag: 0.006 0.208 0.506 x4
Ag: 0.153 0.500 0.654 x2
Ag: 0.278 0.500 0.279 x2
Ag: 0.337 0.000 0.334 x2
Ag: 0.495 0.154 0.994 x4

***

[2]
NdAl4Ag2 | PBE | relaxed

Results
E_form ... -191 meV per atom
Uncorrected energy ... -3.8255 eV per atom
Crystal system ... monoclinic

Unit cell a=9.483 b=6.720 c=5.167 alpha=90.00 beta=122.80 gamma=90.00
Space group C2/m (No. 12)
Inequivalent atoms, fractional coordinates:
Nd: 0.000 0.000 0.000 x2
Al: 0.189 0.202 0.706 x8
Ag: 0.060 0.500 0.306 x4

***

[3]
NdAl4Ag2 | PBE | relaxed

Results
E_form ... -216 meV per atom
Uncorrected energy ... -3.8508 eV per atom
Crystal system ... orthorhombic

Unit cell a=4.195 b=15.826 c=4.189 alpha=90.00 beta=90.00 gamma=90.00
Space group Cmmm (No. 65)
Inequivalent atoms, fractional coordinates:
Nd: 0.000 0.000 0.000 x2
Al: 0.000 0.188 0.500 x4
Al: 0.000 0.310 0.000 x4
Ag: 0.000 0.414 0.500 x4

***

[4]
NdAlAg | PBE | relaxed

Results
E_form ... -378 meV per atom
Uncorrected energy ... -4.1653 eV per atom
Crystal system ... monoclinic

Unit cell a=10.638 b=4.691 c=7.551 alpha=90.00 beta=131.80 gamma=90.00
Space group C2/m (No. 12)
Inequivalent atoms, fractional coordinates:
Nd: 0.041 0.000 0.298 x4
Al: 0.160 0.500 0.107 x4
Ag: 0.174 0.500 0.731 x4

***

[5]
Nd6Al3Ag | PBE | relaxed

Results
E_form ... -71 meV per atom
Uncorrected energy ... -4.3395 eV per atom
Crystal system ... monoclinic

Unit cell a=8.382 b=7.867 c=12.140 alpha=90.00 beta=132.03 gamma=90.00
Space group P2_1/c (No. 14)
Inequivalent atoms, fractional coordinates:
Nd: 0.002 0.096 0.260 x4
Nd: 0.252 0.670 0.070 x4
Nd: 0.418 0.145 0.067 x4
Al: 0.000 0.000 0.000 x2
Al: 0.262 0.170 0.718 x4
Ag: 0.500 0.000 0.500 x2

***

[6]
Nd2Al7Ag12 | PBE | relaxed

Results
E_form ... -159 meV per atom
Uncorrected energy ... -3.4900 eV per atom
Crystal system ... trigonal

Unit cell a=10.6599 b=10.6599 c=4.1300 alpha=90.00 beta=90.00 gamma=120.00
Space group P-3 (No. 147)
Inequivalent atoms, fractional coordinates:
Nd: 0.3333 0.6667 0.2453 x2
Al: 0.0000 0.0000 0.5000 x1
Al: 0.1171 0.7059 0.7451 x6
Ag: 0.0594 0.4367 0.7520 x6
Ag: 0.1204 0.2608 0.2409 x6

***

no.,theoretical density (g/cm³),DOS at the Fermi energy (states/eV/f.u.)
1,7.27,5.37
2,5.61,2.85
3,5.59,1.32
4,6.60,2.44
5,5.89,9.85
6,7.24,6.29